(1)
A plane-wave DFT calculation with PBEsol was carried out for a relaxed NaFeCuPd2 crystal.

```
NaFeCuPd2
1.0
4.522 0.000 0.000
0.000 4.522 0.000
0.000 0.000 4.793
Na Fe Cu Pd
1 1 1 2
direct
0.000 0.000 0.000
0.000 0.000 0.500
0.500 0.500 0.000
0.000 0.500 0.500
0.500 0.000 0.500
```

Computed properties:
D(E_F): 4.1 states/eV/f.u.
formation energy: 1.07 eV per atom
volume: 98.02 Å³/f.u.
E: -21.259 eV per cell
symmetry: P4/mmm (123)

---

(2)
A plane-wave DFT calculation with PBEsol was carried out for a relaxed CdN2O2 crystal.

```
CdN2O2
1.0
4.224 0.000 0.000
0.000 4.224 0.000
0.000 0.000 4.669
Cd N O
1 2 2
direct
0.000 0.000 0.000
0.000 0.000 0.500
0.500 0.500 0.500
0.000 0.500 0.000
0.500 0.000 0.000
```

Computed properties:
E_form (uncorrected): 11.8 eV per formula unit
D(E_F): 6.4 states/eV/f.u.
volume: 83.30 Å³/f.u.
E: -16.957 eV per cell
polymorph energy (0 for the lowest one): 0.759 eV/atom
symmetry: P4/mmm (123)

---

(3)
A plane-wave DFT calculation with PBEsol was carried out for a relaxed LaTcSb2 crystal.

```
LaTcSb2
1.0
7.138 0.000 0.000
0.000 7.138 0.000
0.000 0.000 7.138
La Tc Sb
4 4 8
direct
0.000 0.000 0.000
0.000 0.500 0.500
0.500 0.000 0.500
0.500 0.500 0.000
0.250 0.250 0.750
0.250 0.750 0.250
0.750 0.250 0.250
0.750 0.750 0.750
0.000 0.000 0.500
0.000 0.500 0.000
0.250 0.250 0.250
0.250 0.750 0.750
0.500 0.000 0.000
0.500 0.500 0.500
0.750 0.250 0.750
0.750 0.750 0.250
```

Computed properties:
E_form (uncorrected): 0.4 eV per formula unit
D(E_F): 2.8 states/eV/f.u.
volume: 90.92 Å³/f.u.
E: -101.222 eV per cell
polymorph energy (0 for the lowest one): 0.258 eV/atom
symmetry: F-43m (216)